(1)
Below is BaNa3W after structural relaxation, with properties calculated at the GGA-PBE level.

Properties
- DFT total energy (eV/atom) = -1.7466
- M_tot (μB per cell) = 3.954
- polymorph energy (0 for the lowest one) (eV per atom) = 0.784
- crystal system = cubic

a b c (Å): 6.3623 6.3623 6.3623
angles (deg): 90.00 90.00 90.00
With the nearest neighbours (Å) after each atom.
Space group Pm-3m (No. 221)
One atom of each set of equivalent atoms:
Ba (0.0000, 0.0000, 0.0000) (multiplicity 1)  6 Na 3.18
Na (0.0000, 0.0000, 0.5000) (multiplicity 3)  2 Ba 3.18
W (0.5000, 0.5000, 0.5000) (multiplicity 1)  12 Na 4.50



(2)
Below is Ba2NaY2 after structural relaxation, with properties calculated at the GGA-PBE level.

Properties
- DFT total energy (eV/atom) = -3.2347
- M_tot (μB per cell) = 4.258
- crystal system = tetragonal

a b c (Å): 10.8165 10.8165 3.9784
angles (deg): 90.00 90.00 90.00
With the nearest neighbours (Å) after each atom.
Space group P4/mbm (No. 127)
One atom of each set of equivalent atoms:
Ba (0.1858, 0.3142, 0.0000) (multiplicity 4)  6 Y 3.75-3.83, 2 Ba 3.98
Na (0.0000, 0.0000, 0.5000) (multiplicity 2)  2 Na 3.98, 4 Y 4.41, 8 Ba 4.42
Y (0.1064, 0.6064, 0.5000) (multiplicity 4)  1 Y 3.25



Number 1: energy of formation from the pure elements 2.020 eV per atom. Number 2: energy of formation from the pure elements 0.384 eV per atom.